La2Co | PBE-GGA | relaxed

Cell lengths 3.530, 3.530, 13.467 Å; angles 90.00, 90.00, 90.00 degrees
Fractional positions:
La 0.000 0.000 0.120
La 0.000 0.000 0.880
La 0.500 0.500 0.380
La 0.500 0.500 0.620
Co 0.000 0.000 0.500
Co 0.500 0.500 0.000

Results
**SG**: I4/mmm (139)
**Mass density**: 6.67 g cm⁻³

---

LaCo13 | PBE-GGA | relaxed

Cell lengths 7.973, 7.973, 7.973 Å; angles 60.00, 60.00, 60.00 degrees
Fractional positions:
La 0.250 0.250 0.250
La 0.750 0.750 0.750
Co 0.000 0.000 0.000
Co 0.060 0.295 0.705
Co 0.060 0.705 0.940
Co 0.060 0.940 0.295
Co 0.205 0.440 0.795
Co 0.205 0.560 0.440
Co 0.205 0.795 0.560
Co 0.295 0.060 0.940
Co 0.295 0.705 0.060
Co 0.295 0.940 0.705
Co 0.440 0.205 0.560
Co 0.440 0.560 0.795
Co 0.440 0.795 0.205
Co 0.500 0.500 0.500
Co 0.560 0.205 0.795
Co 0.560 0.440 0.205
Co 0.560 0.795 0.440
Co 0.705 0.060 0.295
Co 0.705 0.295 0.940
Co 0.705 0.940 0.060
Co 0.795 0.205 0.440
Co 0.795 0.440 0.560
Co 0.795 0.560 0.205
Co 0.940 0.060 0.705
Co 0.940 0.295 0.060
Co 0.940 0.705 0.295

Results
**SG**: Fm-3c (226)
**Mass density**: 8.39 g cm⁻³

---

LaCo5 | PBE-GGA | relaxed

Cell lengths 2.982, 2.982, 9.557 Å; angles 90.00, 90.00, 90.00 degrees
Fractional positions:
La 0.000 0.000 0.000
Co 0.000 0.000 0.365
Co 0.000 0.000 0.635
Co 0.500 0.500 0.238
Co 0.500 0.500 0.500
Co 0.500 0.500 0.762

Results
**SG**: P4/mmm (123)
**Mass density**: 8.47 g cm⁻³

---

La3Co | PBE-GGA | relaxed

Cell lengths 6.016, 6.016, 6.016 Å; angles 90.00, 90.00, 90.00 degrees
Fractional positions:
La 0.000 0.250 0.500
La 0.000 0.750 0.500
La 0.250 0.500 0.000
La 0.500 0.000 0.250
La 0.500 0.000 0.750
La 0.750 0.500 0.000
Co 0.000 0.000 0.000
Co 0.500 0.500 0.500

Results
**SG**: Pm-3n (223)
**Mass density**: 7.25 g cm⁻³

---

LaCo3 | PBE-GGA | relaxed

Cell lengths 3.490, 3.490, 22.748 Å; angles 90.00, 90.00, 90.00 degrees
Fractional positions:
La 0.000 0.000 0.113
La 0.000 0.000 0.887
La 0.500 0.500 0.387
La 0.500 0.500 0.613
Co 0.000 0.000 0.318
Co 0.000 0.000 0.682
Co 0.000 0.500 0.000
Co 0.000 0.500 0.250
Co 0.000 0.500 0.500
Co 0.000 0.500 0.750
Co 0.500 0.000 0.000
Co 0.500 0.000 0.250
Co 0.500 0.000 0.500
Co 0.500 0.000 0.750
Co 0.500 0.500 0.182
Co 0.500 0.500 0.818

Results
**SG**: I4/mmm (139)
**Mass density**: 7.57 g cm⁻³

---

LaCo3 | PBE-GGA | relaxed

Cell lengths 3.118, 8.752, 4.631 Å; angles 90.00, 90.00, 90.00 degrees
Fractional positions:
La 0.000 0.000 0.000
La 0.500 0.500 0.500
Co 0.000 0.220 0.436
Co 0.000 0.500 0.018
Co 0.000 0.780 0.436
Co 0.500 0.000 0.518
Co 0.500 0.280 0.936
Co 0.500 0.720 0.936

Results
**SG**: Imm2 (44)
**Mass density**: 8.29 g cm⁻³

---

La2Co | PBE-GGA | relaxed

Cell lengths 3.486, 3.486, 27.870 Å; angles 90.00, 90.00, 90.00 degrees
Fractional positions:
La 0.000 0.250 0.316
La 0.000 0.250 0.434
La 0.000 0.750 0.566
La 0.000 0.750 0.684
La 0.500 0.250 0.066
La 0.500 0.250 0.184
La 0.500 0.750 0.816
La 0.500 0.750 0.934
Co 0.000 0.250 0.875
Co 0.000 0.750 0.125
Co 0.500 0.250 0.625
Co 0.500 0.750 0.375

Results
**SG**: I4_1/amd (141)
**Mass density**: 6.60 g cm⁻³

---

La3Co | PBE-GGA | relaxed

Cell lengths 3.557, 3.637, 9.611 Å; angles 90.00, 90.00, 90.00 degrees
Fractional positions:
La 0.000 0.000 0.000
La 0.000 0.500 0.341
La 0.500 0.500 0.690
Co 0.500 0.000 0.492

Results
**SG**: Pmm2 (25)
**Mass density**: 6.35 g cm⁻³

---

La5Co4 | PBE-GGA | relaxed

Cell lengths 8.260, 8.260, 7.123 Å; angles 90.00, 90.00, 120.00 degrees
Fractional positions:
La 0.000 0.258 0.250
La 0.000 0.742 0.750
La 0.258 0.000 0.250
La 0.258 0.258 0.750
La 0.333 0.667 0.000
La 0.333 0.667 0.500
La 0.667 0.333 0.000
La 0.667 0.333 0.500
La 0.742 0.000 0.750
La 0.742 0.742 0.250
Co 0.000 0.000 0.000
Co 0.000 0.000 0.500
Co 0.000 0.401 0.750
Co 0.000 0.599 0.250
Co 0.401 0.000 0.750
Co 0.401 0.401 0.250
Co 0.599 0.000 0.250
Co 0.599 0.599 0.750

Results
**SG**: P6_3/mcm (193)
**ΔE to the lowest computed polymorph**: 129 meV per atom
**Mass density**: 7.34 g cm⁻³

---

La5Co4 | PBE-GGA | relaxed

Cell lengths 3.868, 6.242, 9.960 Å; angles 72.05, 78.91, 71.98 degrees
Fractional positions:
La 0.000 0.000 0.000
La 0.109 0.180 0.601
La 0.218 0.373 0.193
La 0.782 0.627 0.807
La 0.891 0.820 0.399
Co 0.406 0.573 0.616
Co 0.492 0.214 0.803
Co 0.508 0.786 0.197
Co 0.594 0.427 0.384

Results
**SG**: P-1 (2)
**ΔE to the lowest computed polymorph**: 0 meV per atom
**Mass density**: 7.14 g cm⁻³

---

LaCo3 | PBE-GGA | relaxed

Cell lengths 3.024, 3.024, 6.913 Å; angles 90.00, 90.00, 90.00 degrees
Fractional positions:
La 0.000 0.000 0.000
Co 0.000 0.000 0.500
Co 0.500 0.500 0.323
Co 0.500 0.500 0.677

Results
**SG**: P4/mmm (123)
**Mass density**: 8.30 g cm⁻³

---

LaCo5 | PBE-GGA | relaxed

Cell lengths 5.036, 5.036, 7.882 Å; angles 90.00, 90.00, 119.53 degrees
Fractional positions:
La 0.000 0.000 0.000
La 0.000 0.000 0.500
Co 0.000 0.500 0.260
Co 0.000 0.500 0.740
Co 0.305 0.629 0.000
Co 0.371 0.695 0.500
Co 0.500 0.000 0.240
Co 0.500 0.000 0.760
Co 0.500 0.500 0.250
Co 0.500 0.500 0.750
Co 0.629 0.305 0.500
Co 0.695 0.371 0.000

Results
**SG**: Cccm (66)
**Mass density**: 8.28 g cm⁻³

---

Respective energy of formation values: -0.16, -0.74, 4.54, 7.32, 6.33, 8.43, 0.38, 3.43, 1.06, -1.91, 5.71, -0.50 kcal/mol of atoms.